1.
A relaxed TlPt2Rh crystal, computed with PBE-GGA.

- VASP energy (eV per atom) = -5.325
- energy of formation from the pure elements (kJ/mol of atoms) = 12
- magnetization (μB/cell) = 0.000

Unit cell a=4.8624 b=2.9616 c=4.7706 alpha=89.66 beta=90.00 gamma=90.00
Fractional coordinates of all 4 atoms:
Tl1 0.5000 0.5000 0.0000
Pt1 0.0000 0.2355 0.7405
Pt2 0.0000 0.7645 0.2595
Rh1 0.5000 0.0000 0.5000

***

2.
A relaxed Tl2PtRh crystal, computed with PBE-GGA.

- distance to the lowest polymorph of the same formula (meV/atom) = 9.9
- VASP energy (eV per atom) = -4.418
- energy of formation from the pure elements (kJ/mol of atoms) = 11
- magnetization (μB/cell) = 0.000

Unit cell a=3.2221 b=3.7377 c=6.2997 alpha=90.00 beta=90.00 gamma=90.00
Fractional coordinates of all 4 atoms:
Tl1 0.0000 0.0000 0.7449
Tl2 0.0000 0.0000 0.2551
Pt1 0.5000 0.5000 0.0000
Rh1 0.5000 0.5000 0.5000

***

3.
A relaxed TlPtRh2 crystal, computed with PBE-GGA.

- distance to the lowest polymorph of the same formula (meV/atom) = 139.2
- VASP energy (eV per atom) = -5.561
- energy of formation from the pure elements (kJ/mol of atoms) = 21
- magnetization (μB/cell) = 0.000

Unit cell a=4.7432 b=2.8714 c=4.9290 alpha=89.33 beta=90.00 gamma=90.00
Fractional coordinates of all 4 atoms:
Tl1 0.5000 0.5000 0.0000
Pt1 0.5000 0.0000 0.5000
Rh1 0.0000 0.2420 0.7358
Rh2 0.0000 0.7580 0.2642

***

4.
A relaxed Tl2Pt2Rh crystal, computed with PBE-GGA.

- VASP energy (eV per atom) = -4.645
- energy of formation from the pure elements (kJ/mol of atoms) = 18
- magnetization (μB/cell) = 0.000

Unit cell a=7.0055 b=7.0055 c=4.0136 alpha=90.00 beta=90.00 gamma=90.00
Fractional coordinates of all 10 atoms:
Tl1 0.1753 0.6753 0.5000
Tl2 0.6753 0.8247 0.5000
Tl3 0.8247 0.3247 0.5000
Tl4 0.3247 0.1753 0.5000
Rh1 0.0000 0.0000 0.0000
Rh2 0.5000 0.5000 0.0000
Pt1 0.3671 0.8671 0.0000
Pt2 0.8671 0.6329 0.0000
Pt3 0.6329 0.1329 0.0000
Pt4 0.1329 0.3671 0.0000